[1]
# ReSeIN2

A relaxed structure of ReSeIN2 (GGA-PBE, the Alexandria database).

abc: 3.910 3.910 6.012
angles: 90.00 90.00 90.00
Space group P4/mmm (No. 123)
Unique sites:
Re 0.000 0.000 0.000
Se 0.500 0.500 0.500
I 0.000 0.000 0.500
N 0.000 0.500 0.000

Calculated total energy, eV/atom: -6.0331
Raw formation energy, eV per atom: 0.794
Relative energy among the computed polymorphs, meV per atom: 121

***

[2]
# Hf2Zr5In5

A relaxed structure of Hf2Zr5In5 (GGA-PBE, the Alexandria database).

abc: 14.388 4.076 10.281
angles: 90.00 116.78 90.00
Space group C2/m (No. 12)
Unique sites:
Hf 0.167 0.000 0.000
Zr 0.000 0.000 0.500
Zr 0.083 0.000 0.253
Zr 0.245 0.000 0.743
In 0.000 0.500 0.000
In 0.088 0.500 0.755
In 0.168 0.500 0.497

Calculated total energy, eV/atom: -6.5920
DFT formation energy, eV/atom: -0.230

***

[3]
# Tl4SiIr

A relaxed structure of Tl4SiIr (GGA-PBE, the Alexandria database).

abc: 8.573 8.573 8.573
angles: 90.00 90.00 90.00
Space group F-43m (No. 216)
Unique sites:
Tl 0.125 0.125 0.125
Si 0.000 0.000 0.500
Ir 0.250 0.250 0.750

Calculated total energy, eV/atom: -2.8936
Raw formation energy, eV per atom: 1.065

***

[4]
# TlRhCl2

A relaxed structure of TlRhCl2 (GGA-PBE, the Alexandria database).

abc: 3.7101 3.7101 25.1521
angles: 90.00 90.00 120.00
Space group R3m (No. 160, hexagonal axes)
Unique sites:
Tl 0.0000 0.0000 0.0000
Rh 0.0000 0.0000 0.2552
Cl 0.0000 0.0000 0.5388
Cl 0.0000 0.0000 0.7399

Calculated total energy, eV/atom: -3.5775
Raw formation energy, eV per atom: -0.225
Relative energy among the computed polymorphs, meV per atom: 216